No. 1
Below is a relaxed KLuTe crystal, with properties calculated at the PBE level.

Results
**VASP energy**: -3.082 eV per atom
**Symmetry**: F-43m (216)
**Excess energy over the best structure of this formula in the dataset**: 0.0 kJ/mol of atoms

Cell: 5.3331 5.3331 5.3331 Å, 60.00 60.00 60.00°
Last column: nearest neighbours and their distance in Å.
Fractional positions:
K 0.0000 0.0000 0.0000  4 Te 3.27
Lu 0.5000 0.5000 0.5000  4 Te 3.27
Te 0.2500 0.2500 0.2500  4 K 3.27, 4 Lu 3.27

No. 2
Below is a relaxed KLuTh crystal, with properties calculated at the PBE level.

Results
**VASP energy**: -2.977 eV per atom
**Symmetry**: F-43m (216)
**Excess energy over the best structure of this formula in the dataset**: 0.0 kJ/mol of atoms

Cell: 5.7021 5.7021 5.7021 Å, 60.00 60.00 60.00°
Last column: nearest neighbours and their distance in Å.
Fractional positions:
K 0.0000 0.0000 0.0000  4 Lu 3.49
Lu 0.2500 0.2500 0.2500  4 Th 3.49, 4 K 3.49
Th 0.5000 0.5000 0.5000  4 Lu 3.49

No. 3
Below is a relaxed KLuZn crystal, with properties calculated at the PBE level.

Results
**VASP energy**: -1.481 eV per atom
**Symmetry**: F-43m (216)
**Excess energy over the best structure of this formula in the dataset**: 0.0 kJ/mol of atoms

Cell: 5.1845 5.1845 5.1845 Å, 60.00 60.00 60.00°
Last column: nearest neighbours and their distance in Å.
Fractional positions:
K 0.0000 0.0000 0.0000  4 Lu 3.17
Lu 0.2500 0.2500 0.2500  4 Zn 3.17, 4 K 3.17
Zn 0.5000 0.5000 0.5000  4 Lu 3.17

No. 4
Below is a relaxed KLuZr crystal, with properties calculated at the PBE level.

Results
**VASP energy**: -3.257 eV per atom
**Symmetry**: F-43m (216)
**Excess energy over the best structure of this formula in the dataset**: 0.0 kJ/mol of atoms

Cell: 5.6395 5.6395 5.6395 Å, 60.00 60.00 60.00°
Last column: nearest neighbours and their distance in Å.
Fractional positions:
K 0.0000 0.0000 0.0000  4 Zr 3.45
Lu 0.5000 0.5000 0.5000  4 Zr 3.45
Zr 0.2500 0.2500 0.2500  4 Lu 3.45, 4 K 3.45

No. 5
Below is a relaxed K2Mg2Nb4O13 crystal, with properties calculated at the PBE level.

Results
**VASP energy**: -7.804 eV per atom
**Symmetry**: C2/m (12)

Cell: 8.1305 8.1305 9.4934 Å, 98.84 98.84 27.81°
Last column: nearest neighbours and their distance in Å.
Fractional positions:
K 0.0537 0.0537 0.2514  6 O 2.68-2.92
K 0.9463 0.9463 0.7486  6 O 2.68-2.92
Mg 0.2633 0.2633 0.7402  5 O 1.98-2.21
Mg 0.7367 0.7367 0.2598  5 O 1.98-2.21
Nb 0.3386 0.3386 0.0694  4 O 1.83-2.05
Nb 0.3779 0.3779 0.4197  4 O 1.82-1.98
Nb 0.6221 0.6221 0.5803  4 O 1.82-1.98
Nb 0.6614 0.6614 0.9306  4 O 1.83-2.05
O 0.1311 0.1311 0.6147  2 Nb 1.98
O 0.2000 0.2000 0.9317  2 Nb 2.05, 1 Mg 2.21
O 0.2709 0.2709 0.2581  2 Mg 2.03, 2 Nb 2.09-2.23
O 0.3338 0.3338 0.5853  1 Nb 1.82, 1 Mg 1.98
O 0.3722 0.3722 0.8922  1 Nb 1.84, 1 Mg 2.06
O 0.4364 0.4364 0.2017  1 Nb 1.83
O 0.5000 0.5000 0.5000  2 Nb 1.96
O 0.5636 0.5636 0.7983  1 Nb 1.83
O 0.6278 0.6278 0.1078  1 Nb 1.84, 1 Mg 2.06
O 0.6662 0.6662 0.4147  1 Nb 1.82, 1 Mg 1.98
O 0.7291 0.7291 0.7419  2 Mg 2.03, 2 Nb 2.09-2.23
O 0.8000 0.8000 0.0683  2 Nb 2.05, 1 Mg 2.21
O 0.8689 0.8689 0.3853  2 Nb 1.98

No. 6
Below is a relaxed KMgNbPd crystal, with properties calculated at the PBE level.

Results
**VASP energy**: -3.685 eV per atom
**Symmetry**: F-43m (216)
**Excess energy over the best structure of this formula in the dataset**: 12.5 kJ/mol of atoms

Cell: 4.9718 4.9718 4.9718 Å, 60.00 60.00 60.00°
Last column: nearest neighbours and their distance in Å.
Fractional positions:
K 0.0000 0.0000 0.0000  4 Mg 3.04, 4 Pd 3.04
Mg 0.2500 0.2500 0.2500  4 Nb 3.04, 4 K 3.04
Nb 0.5000 0.5000 0.5000  4 Pd 3.04, 4 Mg 3.04
Pd 0.7500 0.7500 0.7500  4 Nb 3.04, 4 K 3.04

No. 7
Below is a relaxed KMgNbPd crystal, with properties calculated at the PBE level.

Results
**VASP energy**: -3.577 eV per atom
**Symmetry**: F-43m (216)
**Excess energy over the best structure of this formula in the dataset**: 22.9 kJ/mol of atoms

Cell: 5.0368 5.0368 5.0368 Å, 60.00 60.00 60.00°
Last column: nearest neighbours and their distance in Å.
Fractional positions:
K 0.0000 0.0000 0.0000  4 Nb 3.08, 4 Pd 3.08
Mg 0.5000 0.5000 0.5000  4 Nb 3.08, 4 Pd 3.08
Nb 0.7500 0.7500 0.7500  4 K 3.08, 4 Mg 3.08
Pd 0.2500 0.2500 0.2500  4 K 3.08, 4 Mg 3.08

No. 8
Below is a relaxed KMgNbPd crystal, with properties calculated at the PBE level.

Results
**VASP energy**: -3.815 eV per atom
**Symmetry**: F-43m (216)
**Excess energy over the best structure of this formula in the dataset**: 0.0 kJ/mol of atoms

Cell: 4.8193 4.8193 4.8193 Å, 60.00 60.00 60.00°
Last column: nearest neighbours and their distance in Å.
Fractional positions:
K 0.0000 0.0000 0.0000  4 Nb 2.95, 4 Mg 2.95
Mg 0.7500 0.7500 0.7500  4 K 2.95, 4 Pd 2.95
Nb 0.2500 0.2500 0.2500  4 K 2.95, 4 Pd 2.95
Pd 0.5000 0.5000 0.5000  4 Nb 2.95, 4 Mg 2.95